Density functional theory data (PBE) for an optimized crystal structure of SnP2RuS.

SG: No. 123
Formation energy without anion corrections: 31 kJ/mol of atoms
Relative energy among the computed polymorphs: 0.000 eV/atom
Magnetization: 0.00 μB/cell

a b c (Å): 4.4626 4.4626 5.2812
angles (deg): 90.00 90.00 90.00
Element x y z (fractional)
1 Sn 0.0000 0.0000 0.0000
2 P 0.0000 0.5000 0.5000
3 P 0.5000 0.0000 0.5000
4 Ru 0.5000 0.5000 0.5000
5 S 0.5000 0.5000 0.0000

=====

Density functional theory data (PBE) for an optimized crystal structure of SrP2RuS8.

SG: No. 147
Formation energy without anion corrections: -46 kJ/mol of atoms
Magnetization: 1.94 μB/cell

a b c (Å): 5.8513 5.8513 8.5542
angles (deg): 90.00 90.00 120.00
Element x y z (fractional)
1 Sr 0.0000 0.0000 0.0000
2 P 0.3333 0.6667 0.7300
3 P 0.6667 0.3333 0.2700
4 Ru 0.0000 0.0000 0.5000
5 S 0.0114 0.6815 0.3325
6 S 0.3185 0.3298 0.3325
7 S 0.3298 0.0114 0.6675
8 S 0.3333 0.6667 0.9658
9 S 0.6667 0.3333 0.0342
10 S 0.6702 0.9886 0.3325
11 S 0.6815 0.6702 0.6675
12 S 0.9886 0.3185 0.6675